# 1
VASP calculation (PBE) on crystalline Ta2Se3S at its relaxed geometry.

Structure (POSCAR):
```
Ta2Se3S
1.0
2.9778 -1.7198 0.0000
2.9778 1.7198 0.0000
-0.0011 0.0000 23.4723
Ta Se S
2 3 1
Direct
0.0000 0.0000 0.0000
0.5000 0.5000 0.4969
0.3334 0.3334 0.0720
0.3334 0.3334 0.9280
0.8334 0.8334 0.5701
0.8334 0.8334 0.4330
```

Calculated values
* magnetic moment: 0.0 Bohr magnetons per cell
* calculated density: 4.36 g/cm³
* energy above the most stable polymorph in this dataset: 0.0072 eV per atom

---

# 2
VASP calculation (PBE) on crystalline LiCuGe at its relaxed geometry.

Structure (POSCAR):
```
LiCuGe
1.0
0.0000 2.8510 2.8510
2.8510 0.0000 2.8510
2.8510 2.8510 0.0000
Li Cu Ge
1 1 1
Direct
0.0000 0.0000 0.0000
0.7500 0.7500 0.7500
0.5000 0.5000 0.5000
```

Calculated values
* E_tot: -0.12845 hartree per atom
* calculated density: 5.13 g/cm³

---

# 3
VASP calculation (PBE) on crystalline HfWCBr2 at its relaxed geometry.

Structure (POSCAR):
```
HfWCBr2
1.0
3.4438 0.0000 0.0000
-1.7219 2.9824 0.0000
0.0000 0.0000 9.7352
Hf W C Br
1 1 1 2
Direct
0.0000 0.0000 0.0000
0.6667 0.3333 0.2089
0.3333 0.6667 0.1172
0.0000 0.0000 0.4105
0.6667 0.3333 0.7995
```

Calculated values
* magnetic moment: 0.0 Bohr magnetons per cell
* E_tot: -0.28362 hartree per atom
* calculated density: 8.87 g/cm³

---

# 4
VASP calculation (PBE) on crystalline RbCuTcIr at its relaxed geometry.

Structure (POSCAR):
```
RbCuTcIr
1.0
0.0000 3.3542 3.3542
3.3542 0.0000 3.3542
3.3542 3.3542 0.0000
Rb Cu Tc Ir
1 1 1 1
Direct
0.0000 0.0000 0.0000
0.7500 0.7500 0.7500
0.5000 0.5000 0.5000
0.2500 0.2500 0.2500
```

Calculated values
* magnetic moment: 3.6 Bohr magnetons per cell
* calculated density: 9.66 g/cm³
* energy above the most stable polymorph in this dataset: 0.1070 eV per atom

---

Please write out number 2 again, unchanged.
VASP calculation (PBE) on crystalline LiCuGe at its relaxed geometry.

Structure (POSCAR):
```
LiCuGe
1.0
0.0000 2.8510 2.8510
2.8510 0.0000 2.8510
2.8510 2.8510 0.0000
Li Cu Ge
1 1 1
Direct
0.0000 0.0000 0.0000
0.7500 0.7500 0.7500
0.5000 0.5000 0.5000
```

Calculated values
* E_tot: -0.12845 hartree per atom
* calculated density: 5.13 g/cm³

---

Copy entry 2 word for word.
VASP calculation (PBE) on crystalline LiCuGe at its relaxed geometry.

Structure (POSCAR):
```
LiCuGe
1.0
0.0000 2.8510 2.8510
2.8510 0.0000 2.8510
2.8510 2.8510 0.0000
Li Cu Ge
1 1 1
Direct
0.0000 0.0000 0.0000
0.7500 0.7500 0.7500
0.5000 0.5000 0.5000
```

Calculated values
* E_tot: -0.12845 hartree per atom
* calculated density: 5.13 g/cm³

---

Question: What is the calculated density in the third record?
Answer: 8.87 g/cm³